No. 1
This record from the Open Quantum Materials Database describes an optimized crystal structure of HgB4Pd. The functional is PBE.

a b c (Å): 5.117 5.117 5.117
angles (deg): 145.51 118.95 72.05
Sites, in units of the cell vectors:
Pd  0.500  0.500  0.000
Hg  0.000  0.000  0.000
B  0.424  0.757  0.668
B  0.911  0.243  0.668
B  0.576  0.243  0.332
B  0.089  0.757  0.332

Properties
Distance to the lowest polymorph of the same formula = 9.1 kJ per mole of atoms
Crystal system = orthorhombic
SG = No. 71



No. 2
This record from the Open Quantum Materials Database describes an optimized crystal structure of LuScCu2As4. The functional is PBE.

a b c (Å): 3.835 3.835 9.565
angles (deg): 90.00 90.00 90.00
Sites, in units of the cell vectors:
Sc  0.500  0.500  0.765
Cu  0.000  0.500  0.504
As  0.000  0.000  0.673
As  0.000  0.500  0.994
Cu  0.500  0.000  0.504
Lu  0.000  0.000  0.234
As  0.500  0.500  0.333
As  0.500  0.000  0.994

Properties
Total magnetic moment = 0.000 μB/cell
Crystal system = tetragonal
Raw total energy = -5.3457 eV/atom
SG = No. 99



No. 3
This record from the Open Quantum Materials Database describes an optimized crystal structure of ZrTc. The functional is PBE.

a b c (Å): 4.617 8.637 4.631
angles (deg): 90.00 90.00 74.49
Sites, in units of the cell vectors:
Tc  0.978  0.211  0.500
Zr  0.078  0.011  0.000
Zr  0.183  0.800  0.500
Zr  0.289  0.589  0.000
Tc  0.389  0.389  0.500
Tc  0.892  0.383  0.000
Zr  0.576  0.014  0.500
Tc  0.683  0.800  0.000
Tc  0.476  0.217  0.000
Zr  0.790  0.586  0.500

Properties
Total magnetic moment = 0.027 μB/cell
Crystal system = orthorhombic
Formation energy from the elements = -0.098 eV/atom
SG = No. 38



No. 4
This record from the Open Quantum Materials Database describes an optimized crystal structure of Be2CdTe. The functional is PBE.

a b c (Å): 4.745 4.745 4.745
angles (deg): 60.00 60.00 60.00
Sites, in units of the cell vectors:
Be  0.000  0.000  0.000
Te  0.750  0.750  0.750
Cd  0.500  0.500  0.500
Be  0.250  0.250  0.250

Properties
Crystal system = cubic
Raw total energy = -1.9378 eV/atom
SG = No. 216



No. 5
This record from the Open Quantum Materials Database describes an optimized crystal structure of DyHoSi2Pt. The functional is PBE.

a b c (Å): 5.586 5.586 10.146
angles (deg): 115.51 115.51 45.06
Last column: magnetic moment on the atom in μB.
Sites, in units of the cell vectors:
Ho  0.007  0.007  0.826  0.05
Si  0.517  0.517  0.387  0.00
Dy  0.811  0.811  0.392  0.12
Ho  0.993  0.993  0.174  0.05
Si  0.360  0.360  0.943  0.00
Si  0.640  0.640  0.057  0.00
Pt  0.272  0.272  0.156  0.01
Pt  0.728  0.728  0.844  0.01
Si  0.483  0.483  0.613  0.00
Dy  0.189  0.189  0.608  0.12

Properties
Total magnetic moment = 0.549 μB/cell
Crystal system = monoclinic
Raw total energy = -6.2571 eV/atom
SG = No. 12



No. 6
This record from the Open Quantum Materials Database describes an optimized crystal structure of TaCl5. The functional is PBE.

a b c (Å): 12.907 12.907 5.941
angles (deg): 90.47 90.47 88.26
Sites, in units of the cell vectors:
Cl  0.664  0.468  0.244
Ta  0.777  0.556  0.477
Cl  0.468  0.087  0.760
Cl  0.997  0.802  0.225
Cl  0.865  0.246  0.240
Cl  0.718  0.718  0.259
Cl  0.336  0.532  0.756
Cl  0.865  0.670  0.709
Cl  0.385  0.385  0.305
Cl  0.198  0.579  0.285
Cl  0.330  0.135  0.291
Cl  0.802  0.421  0.715
Cl  0.615  0.615  0.695
Cl  0.052  0.052  0.223
Cl  0.532  0.913  0.240
Cl  0.003  0.198  0.775
Cl  0.198  0.003  0.775
Ta  0.444  0.223  0.523
Cl  0.913  0.532  0.240
Cl  0.468  0.664  0.244
Cl  0.421  0.802  0.715
Ta  0.223  0.444  0.523
Cl  0.246  0.865  0.240
Cl  0.135  0.754  0.760
Cl  0.135  0.330  0.291
Ta  0.556  0.777  0.477
Cl  0.087  0.468  0.760
Cl  0.282  0.282  0.741
Cl  0.670  0.865  0.709
Cl  0.754  0.135  0.760
Ta  0.890  0.110  0.000
Cl  0.802  0.997  0.225
Cl  0.532  0.336  0.756
Ta  0.110  0.890  0.000
Cl  0.579  0.198  0.285
Cl  0.948  0.948  0.777

Properties
Total magnetic moment = 0.004 μB/cell
Distance to the lowest polymorph of the same formula = 1.0 kJ per mole of atoms
Crystal system = monoclinic
SG = No. 12



No. 7
This record from the Open Quantum Materials Database describes an optimized crystal structure of Lu2Fe3Mo4N3. The functional is PBE.

a b c (Å): 5.325 5.325 13.390
angles (deg): 101.09 101.09 60.30
Last column: magnetic moment on the atom in μB.
Sites, in units of the cell vectors:
Mo  0.697  0.865  0.083  -0.05
Mo  0.135  0.303  0.417  -0.05
Fe  0.417  0.086  0.249  2.14
Lu  0.377  0.539  0.121  -0.12
Mo  0.865  0.697  0.583  -0.05
Lu  0.623  0.461  0.879  -0.12
Lu  0.461  0.623  0.379  -0.13
Mo  0.303  0.135  0.917  -0.05
N  0.347  0.808  0.000  -0.01
Mo  0.187  0.035  0.583  -0.06
Mo  0.813  0.965  0.417  -0.06
Fe  0.080  0.920  0.750  2.12
Mo  0.965  0.813  0.917  -0.06
N  0.000  0.500  0.000  -0.03
Fe  0.583  0.914  0.751  2.14
Fe  0.914  0.583  0.251  2.15
Fe  0.920  0.080  0.250  2.12
Lu  0.539  0.377  0.621  -0.13
Mo  0.035  0.187  0.083  -0.06
N  0.500  0.000  0.500  -0.02
N  0.653  0.192  0.000  -0.01
N  0.808  0.347  0.500  -0.01
Fe  0.086  0.417  0.749  2.15
N  0.192  0.653  0.500  -0.01

Properties
Total magnetic moment = 11.669 μB/cell
Crystal system = monoclinic
Raw total energy = -8.9466 eV/atom
SG = No. 15



No. 8
This record from the Open Quantum Materials Database describes an optimized crystal structure of In2NiSn. The functional is PBE.

a b c (Å): 4.977 4.977 4.977
angles (deg): 60.00 60.00 60.00
Sites, in units of the cell vectors:
In  0.250  0.250  0.250
In  0.000  0.000  0.000
Ni  0.750  0.750  0.750
Sn  0.500  0.500  0.500

Properties
Total magnetic moment = 0.001 μB/cell
Crystal system = cubic
Raw total energy = -3.5032 eV/atom
SG = No. 216



No. 9
This record from the Open Quantum Materials Database describes an optimized crystal structure of TbDyZn2Sn2. The functional is PBE.

a b c (Å): 4.511 4.511 15.814
angles (deg): 90.00 90.00 120.00
Sites, in units of the cell vectors:
Tb  0.000  0.000  0.250
Sn  0.667  0.333  0.886
Dy  0.000  0.000  0.000
Sn  0.333  0.667  0.114
Dy  0.000  0.000  0.500
Sn  0.333  0.667  0.386
Zn  0.333  0.667  0.659
Tb  0.000  0.000  0.750
Zn  0.333  0.667  0.841
Zn  0.667  0.333  0.341
Sn  0.667  0.333  0.614
Zn  0.667  0.333  0.159

Properties
Total magnetic moment = 0.011 μB/cell
Distance to the lowest polymorph of the same formula = 0.2 kJ per mole of atoms
Crystal system = hexagonal
SG = No. 194



No. 10
This record from the Open Quantum Materials Database describes an optimized crystal structure of MgNb2Co3Sb3. The functional is PBE.

a b c (Å): 7.316 7.316 7.309
angles (deg): 99.60 99.60 119.97
Sites, in units of the cell vectors:
Mg  0.837  0.667  0.004
Sb  0.587  0.428  0.249
Sb  0.749  0.255  0.747
Nb  0.163  0.330  0.998
Nb  0.330  0.163  0.498
Co  0.622  0.138  0.368
Co  0.275  0.441  0.368
Nb  0.002  0.500  0.498
Sb  0.255  0.749  0.247
Sb  0.072  0.909  0.755
Co  0.441  0.275  0.868
Co  0.138  0.622  0.868
Co  0.794  0.980  0.889
Mg  0.667  0.837  0.504
Co  0.980  0.794  0.389
Sb  0.428  0.587  0.749
Sb  0.909  0.072  0.255
Nb  0.500  0.002  0.998

Properties
Total magnetic moment = 0.009 μB/cell
Crystal system = monoclinic
Raw total energy = -6.5736 eV/atom
SG = No. 9



No. 11
This record from the Open Quantum Materials Database describes an optimized crystal structure of NpW. The functional is PBE.

a b c (Å): 2.787 2.787 5.607
angles (deg): 90.00 90.00 120.00
Last column: magnetic moment on the atom in μB.
Sites, in units of the cell vectors:
W  0.333  0.667  0.250  -0.07
Np  0.667  0.333  0.750  2.68

Properties
Total magnetic moment = 2.604 μB/cell
Distance to the lowest polymorph of the same formula = 0.0 kJ per mole of atoms
Crystal system = hexagonal
Formation energy from the elements = 0.524 eV/atom
SG = No. 187



No. 12
This record from the Open Quantum Materials Database describes an optimized crystal structure of B4MoAs. The functional is PBE.

a b c (Å): 3.026 3.026 7.365
angles (deg): 90.00 90.00 120.00
Sites, in units of the cell vectors:
B  0.667  0.333  0.227
B  0.333  0.667  0.773
B  0.333  0.667  0.227
As  0.000  0.000  0.500
B  0.667  0.333  0.773
Mo  0.000  0.000  0.000

Properties
Total magnetic moment = 0.003 μB/cell
Distance to the lowest polymorph of the same formula = 0.0 kJ per mole of atoms
Crystal system = hexagonal
SG = No. 191